Record 1
The following is a PBE calculation of RbGaSnAu after structural relaxation, from the Alexandria database.

Values from the calculation:
- crystal system = monoclinic
- DOS at the Fermi energy (states/eV/atom) = 0.65
- electronic total energy (eV for the cell shown) = -12.21
- mass density (g/cm³) = 6.29
- energy relative to the elements (eV/atom) = -0.233

Lattice parameters (Å, degrees): 4.4530 4.4530 7.6787 106.76 106.76 60.00
Positions (direct):
Sn  0.2707  0.2707  0.6507
Ga  0.6913  0.6913  0.9137
Au  0.9938  0.9938  0.8207
Rb  0.4748  0.4747  0.2640


Record 2
The following is a PBE calculation of NpPdRuAu after structural relaxation, from the Alexandria database.

Values from the calculation:
- crystal system = cubic
- DOS at the Fermi energy (states/eV/atom) = 1.57
- electronic total energy (eV for the cell shown) = -31.08
- mass density (g/cm³) = 14.82
- energy relative to the elements (eV/atom) = -0.098

Lattice parameters (Å, degrees): 4.6672 4.6672 4.6672 60.00 60.00 60.00
Each line ends with the local moment (μB).
Positions (direct):
Pd  0.7500  0.7500  0.7500  -0.08
Au  0.0000  0.0000  0.0000  -0.01
Np  0.5000  0.5000  0.5000  3.42
Ru  0.2500  0.2500  0.2500  -0.66


Record 3
The following is a PBE calculation of K2SnBr4F2 after structural relaxation, from the Alexandria database.

Values from the calculation:
- crystal system = monoclinic
- DOS at the Fermi energy (states/eV/atom) = 0.00
- energy relative to the elements, uncorrected (eV/f.u.) = -15.1
- electronic total energy (eV for the cell shown) = -31.73
- mass density (g/cm³) = 3.34

Lattice parameters (Å, degrees): 7.3410 7.3145 7.3145 62.69 58.46 58.46
Positions (direct):
Br  0.3007  0.7113  0.2009
F  0.2140  0.1972  0.1972
Br  0.6993  0.2887  0.7991
Br  0.6993  0.7991  0.2887
Sn  0.5000  0.0000  0.0000
K  0.7999  0.2526  0.2526
Br  0.3007  0.2009  0.7113
F  0.7860  0.8028  0.8028
K  0.2001  0.7474  0.7474


Record 4
The following is a PBE calculation of HoCdHg3 after structural relaxation, from the Alexandria database.

Values from the calculation:
- crystal system = monoclinic
- DOS at the Fermi energy (states/eV/atom) = 0.21
- electronic total energy (eV for the cell shown) = -15.42
- mass density (g/cm³) = 12.39
- energy relative to the elements (eV/atom) = -0.262

Lattice parameters (Å, degrees): 5.0721 5.0968 9.4759 90.00 74.16 90.00
Positions (direct):
Hg  0.7594  0.3444  0.2018
Hg  0.2525  0.8444  0.2124
Ho  0.3574  0.3444  0.0049
Cd  0.8574  0.8444  0.0032
Hg  0.6518  0.8444  0.4127
Cd  0.5536  0.3444  0.6114
Hg  0.9563  0.3444  0.8044
Hg  0.1587  0.3444  0.4021
Hg  0.4548  0.8444  0.8101
Ho  0.0537  0.8444  0.6096


Record 5
The following is a PBE calculation of AcZnCd2 after structural relaxation, from the Alexandria database.

Values from the calculation:
- crystal system = orthorhombic
- DOS at the Fermi energy (states/eV/atom) = 0.79
- electronic total energy (eV for the cell shown) = -16.62
- mass density (g/cm³) = 8.34
- energy relative to the elements (eV/atom) = -0.274

Lattice parameters (Å, degrees): 4.8443 6.0891 7.6149 90.00 90.00 113.44
Positions (direct):
Cd  0.3670  0.7340  0.9431
Cd  0.3670  0.7340  0.5569
Zn  0.7847  0.5693  0.7500
Cd  0.6330  0.2660  0.4431
Cd  0.6330  0.2660  0.0569
Ac  0.0792  0.1584  0.7500
Zn  0.2153  0.4307  0.2500
Ac  0.9208  0.8416  0.2500


Record 6
The following is a PBE calculation of LiSb2Rh2 after structural relaxation, from the Alexandria database.

Values from the calculation:
- crystal system = tetragonal
- DOS at the Fermi energy (states/eV/atom) = 0.46
- energy relative to the elements, uncorrected (eV/f.u.) = -1.9
- electronic total energy (eV for the cell shown) = -26.74
- mass density (g/cm³) = 7.09

Lattice parameters (Å, degrees): 4.2242 4.2242 6.6902 71.60 71.60 90.00
Positions (direct):
Sb  0.3762  0.3762  0.2476
Sb  0.6238  0.6238  0.7524
Rh  0.7500  0.2500  0.5000
Rh  0.2500  0.7500  0.5000
Li  0.0000  0.0000  0.0000


The lowest electronic total energy belongs to which entry?
K2SnBr4F2